1.
The following is a DFT calculation (PBE) of a geometry-optimized MgZrPtPb2 structure.

a = 5.377 Å, b = 5.377 Å, c = 5.212 Å
α = 90.00°, β = 90.00°, γ = 90.00°
Space group P4/mmm (No. 123)
Unique sites:
Mg (0.000, 0.000, 0.000) (multiplicity 1)
Zr (0.500, 0.500, 0.000) (multiplicity 1)
Pt (0.500, 0.500, 0.500) (multiplicity 1)
Pb (0.000, 0.500, 0.500) (multiplicity 2)

Properties
For the formation energy, the calculation gives 0.338 eV/atom. For the volume, the calculation gives 150.7 Å³/cell.

---

2.
The following is a DFT calculation (PBE) of a geometry-optimized Sm2TmAs3Rh4 structure.

a = 4.103 Å, b = 4.103 Å, c = 11.399 Å
α = 90.00°, β = 90.00°, γ = 90.00°
Space group P-4m2 (No. 115)
Unique sites:
Sm (0.000, 0.500, 0.225) (multiplicity 2)
Tm (0.000, 0.000, 0.500) (multiplicity 1)
As (0.000, 0.500, 0.871) (multiplicity 2)
As (0.500, 0.500, 0.500) (multiplicity 1)
Rh (0.000, 0.000, 0.000) (multiplicity 1)
Rh (0.000, 0.500, 0.658) (multiplicity 2)
Rh (0.500, 0.500, 0.000) (multiplicity 1)

Properties
For the formation energy, the calculation gives -0.977 eV/atom. For the volume, the calculation gives 191.9 Å³/cell.